Entry 1:
Computed, not measured: crystalline Al2VH at its relaxed geometry at the PBE level of DFT.

It has space group P4/mmm (No. 123), with a = 4.5151 Å, b = 4.5151 Å, c = 2.6738 Å, α = 90.00°, β = 90.00° and γ = 90.00°. The asymmetric unit holds Al at (0.0000, 0.5000, 0.0000), V at (0.0000, 0.0000, 0.5000) and H at (0.5000, 0.5000, 0.5000).

As for the uncorrected energy: -4.7127 eV per atom. As for the crystal system: tetragonal. The calculation puts the density at 3.23 Mg/m³.



Entry 2:
Computed, not measured: crystalline Al2VH at its relaxed geometry at the PBE level of DFT.

It has space group R-3m (No. 166, hexagonal axes), with a = 2.8541 Å, b = 2.8541 Å, c = 22.8501 Å, α = 90.00°, β = 90.00° and γ = 120.00°. The asymmetric unit holds Al at (0.0000, 0.0000, 0.0770), V at (0.0000, 0.0000, 0.5000) and H at (0.0000, 0.0000, 0.0000).

As for the uncorrected energy: -4.9618 eV per atom. As for the crystal system: trigonal. The calculation puts the density at 3.27 Mg/m³.



Entry 3:
Computed, not measured: crystalline AlV3H at its relaxed geometry at the PBE level of DFT.

It has space group P2_1/c (No. 14), with a = 6.6630 Å, b = 4.9228 Å, c = 8.7275 Å, α = 90.00°, β = 123.67° and γ = 90.00°. The asymmetric unit holds Al at (0.0696, 0.2060, 0.1100), V at (0.1770, 0.6812, 0.2453), V at (0.2977, 0.0836, 0.4647), V at (0.4376, 0.5776, 0.6596) and H at (0.4286, 0.7489, 0.4744).

As for the uncorrected energy: -6.9388 eV per atom. As for the crystal system: monoclinic. The calculation puts the density at 5.04 Mg/m³.



Entry 4:
Computed, not measured: crystalline Al2VH at its relaxed geometry at the PBE level of DFT.

It has space group P4/mmm (No. 123), with a = 2.7277 Å, b = 2.7277 Å, c = 6.4704 Å, α = 90.00°, β = 90.00° and γ = 90.00°. The asymmetric unit holds Al at (0.0000, 0.0000, 0.2060), V at (0.5000, 0.5000, 0.5000) and H at (0.5000, 0.5000, 0.0000).

As for the uncorrected energy: -4.8512 eV per atom. As for the crystal system: tetragonal. The calculation puts the density at 3.65 Mg/m³.



Entry 5:
Computed, not measured: crystalline AlV2H2 at its relaxed geometry at the PBE level of DFT.

It has space group P4/mmm (No. 123), with a = 3.4741 Å, b = 3.4741 Å, c = 4.2312 Å, α = 90.00°, β = 90.00° and γ = 90.00°. The asymmetric unit holds Al at (0.0000, 0.0000, 0.0000), V at (0.0000, 0.5000, 0.5000) and H at (0.5000, 0.5000, 0.2699).

As for the uncorrected energy: -5.6824 eV per atom. As for the crystal system: tetragonal. The calculation puts the density at 4.26 Mg/m³.



Entry 6:
Computed, not measured: crystalline AlV6H8 at its relaxed geometry at the PBE level of DFT.

It has space group R-3 (No. 148, hexagonal axes), with a = 7.6130 Å, b = 7.6130 Å, c = 7.0571 Å, α = 90.00°, β = 90.00° and γ = 120.00°. The asymmetric unit holds Al at (0.0000, 0.0000, 0.0000), V at (0.0611, 0.2510, 0.6755), H at (0.0000, 0.0000, 0.2666) and H at (0.0526, 0.2422, 0.4182).

As for the uncorrected energy: -5.8380 eV per atom. As for the crystal system: trigonal. The calculation puts the density at 4.79 Mg/m³.